# 1
The following is a PBE-GGA calculation of SmMgCuPt after structural relaxation, from Alexandria.

```
SmMgCuPt
1.0
4.8092 0.0000 0.0000
2.4046 4.1649 0.0000
2.4046 1.3883 3.9267
Mg Cu Sm Pt
1 1 1 1
Cartesian
4.8092 2.7766 1.9633 Mg
2.4046 1.3883 0.9817 Cu
0.0000 0.0000 0.0000 Sm
7.2137 4.1649 2.9450 Pt
```

**Energy of formation**: -589.6 meV/atom
**Theoretical density**: 9.15 g/cm3
**Total energy**: -4.702 eV per atom

# 2
The following is a PBE-GGA calculation of Rb2LiH2 after structural relaxation, from Alexandria.

```
Rb2LiH2
1.0
5.2856 0.0000 0.0000
0.0000 5.2856 0.0000
2.6428 2.6428 6.4431
H Rb Li
2 2 1
Cartesian
5.2856 2.6428 3.2215 H
2.6428 5.2856 3.2215 H
2.6428 2.6428 2.2819 Rb
5.2856 5.2856 4.1612 Rb
0.0000 0.0000 0.0000 Li
```

**Theoretical density**: 1.66 g/cm3
**Total energy**: -1.895 eV per atom
**Energy relative to the lowest polymorph listed for this composition**: 125 meV/atom

# 3
The following is a PBE-GGA calculation of Ti4SiP after structural relaxation, from Alexandria.

```
Ti4SiP
1.0
-3.7230 3.0590 -1.1388
-3.7659 -4.7134 -0.3491
-1.2998 0.6037 5.8708
Ti Si P
8 2 2
Cartesian
-1.4505 -0.3596 3.7761 Ti
-3.6152 -3.7501 1.7457 Ti
-1.5157 -1.5404 0.8175 Ti
-3.5500 -2.5693 4.7043 Ti
-5.8736 -2.0362 2.9692 Ti
-2.9151 0.9855 1.4137 Ti
-4.5274 -1.4504 0.1415 Ti
-4.2613 0.3997 4.2414 Ti
-0.9308 0.7647 -0.2847 Si
-2.7923 2.2942 -0.8541 Si
-3.4636 -1.2901 2.4762 P
-5.3251 0.2394 1.9068 P
```

**Theoretical density**: 4.60 g/cm3
**Total energy**: -7.905 eV per atom
**Energy relative to the lowest polymorph listed for this composition**: 0 meV/atom

# 4
The following is a PBE-GGA calculation of LaUIn after structural relaxation, from Alexandria.

```
LaUIn
1.0
-0.3377 3.5334 0.9360
-0.4822 -1.4904 5.4522
8.3354 -1.0960 -0.0532
U In La
2 2 2
Cartesian
3.9452 1.8831 1.5129 U
3.5702 -0.9362 4.8221 U
0.7394 0.6300 5.0864 In
6.7760 0.3169 1.2486 In
6.1881 1.3123 4.4771 La
1.3273 -0.3653 1.8579 La
```

**Energy of formation**: -75.7 meV/atom
**Theoretical density**: 9.57 g/cm3
**Total energy**: -6.394 eV per atom